! LiYCu2, optimized geometry, DFT GGA-PBE; values from VASP
&SYSTEM
  ibrav = 0, nat = 4, ntyp = 3
/
ATOMIC_SPECIES
Cu 63.55 Cu.upf
Li 6.94 Li.upf
Y 88.91 Y.upf
ATOMIC_POSITIONS angstrom
Cu 0.000 0.000 0.000
Cu 2.299 2.313 0.005
Li 2.299 4.626 1.729
Y 0.000 2.313 1.724
CELL_PARAMETERS angstrom
4.599 0.000 0.000
0.000 4.625 0.010
0.000 4.626 3.448
! E_tot   -16.63 eV per formula unit
! Energy of formation from the pure elements   -0.0150 eV/atom
! Mass density   5.06 Mg/m³